Entry 1:
K4Cu2AsP (GGA-PBE, relaxed); total DFT energy (no corrections) = -24.659 eV/cell; crystal system = orthorhombic
1.0
2.429 4.112 -3.996
-4.457 1.155 -4.193
-1.977 4.385 3.310
As Cu K P
1 2 4 1
Direct
0.263 0.737 0.000
0.505 0.495 0.259
0.505 0.495 0.741
0.684 0.981 0.000
0.971 0.687 0.500
0.313 0.029 0.500
0.019 0.316 0.000
0.738 0.262 0.500


Entry 2:
K4CuAs2Pd (GGA-PBE, relaxed); total DFT energy (no corrections) = -25.498 eV/cell; crystal system = monoclinic
1.0
-0.138 6.301 -1.020
-1.618 -2.563 -5.620
-5.536 0.052 1.682
As Cu K Pd
2 1 4 1
Direct
0.748 0.748 0.241
0.252 0.252 0.759
0.500 0.500 0.000
0.981 0.321 0.253
0.321 0.981 0.253
0.679 0.019 0.747
0.019 0.679 0.747
0.500 0.500 0.500


Entry 3:
K4CuAs2Pt (GGA-PBE, relaxed); total DFT energy (no corrections) = -26.551 eV/cell; total magnetic moment = 0.53 Bohr magnetons per cell; crystal system = monoclinic
1.0
3.875 -5.034 0.000
3.875 5.034 0.000
-0.088 0.000 5.707
As Cu K Pt
2 1 4 1
Direct
0.751 0.751 0.241
0.249 0.249 0.759
0.500 0.500 0.000
0.980 0.322 0.256
0.322 0.980 0.256
0.678 0.020 0.744
0.020 0.678 0.744
0.500 0.500 0.500


Entry 4:
K3RbCu2As2 (GGA-PBE, relaxed); total DFT energy (no corrections) = -23.737 eV/cell; crystal system = monoclinic
1.0
6.325 0.000 0.000
0.000 6.018 0.000
-1.870 0.000 6.145
As Cu K Rb
2 2 3 1
Direct
0.268 0.500 0.259
0.732 0.000 0.744
0.503 0.251 0.500
0.503 0.749 0.500
0.679 0.500 0.012
0.019 0.500 0.680
0.319 0.000 0.986
0.977 0.000 0.320